# 1
# PBE Cs2Rb3ReO6, relaxed
# Polymorph energy (0 for the lowest one): 0.0 meV per atom
# Mass density: 5.638 g cm⁻³
# Energy: -5.46 eV/atom
# Total moment: 0.00 μB per cell
data_Cs2Rb3ReO6
_space_group_name_H-M_alt 'P 1'
_space_group_IT_number 1
_cell_length_a 6.6727
_cell_length_b 6.6727
_cell_length_c 6.6019
_cell_angle_alpha 100.14
_cell_angle_beta 100.14
_cell_angle_gamma 120.45
loop_
_space_group_symop_operation_xyz
'x,y,z'
loop_
_atom_site_label
_atom_site_type_symbol
_atom_site_fract_x
_atom_site_fract_y
_atom_site_fract_z
Rb1 Rb 0.5000 0.5000 0.5000
O1 O 0.9345 0.7006 0.8200
Cs1 Cs 0.1714 0.8286 0.5000
Rb2 Rb 0.6662 0.3338 0.0000
O2 O 0.8267 0.8267 0.1809
Re1 Re 0.0000 0.0000 0.0000
Cs2 Cs 0.8286 0.1714 0.5000
O3 O 0.1733 0.1733 0.8191
O4 O 0.2994 0.0655 0.1800
O5 O 0.7006 0.9345 0.8200
Rb3 Rb 0.3338 0.6662 0.0000
O6 O 0.0655 0.2994 0.1800


# 2
# PBE Cs4RbReO6, relaxed
# Mass density: 5.838 g cm⁻³
# Energy: -5.43 eV/atom
# Total moment: 0.00 μB per cell
data_Cs4RbReO6
_space_group_name_H-M_alt 'P 1'
_space_group_IT_number 1
_cell_length_a 6.9410
_cell_length_b 6.9410
_cell_length_c 6.6259
_cell_angle_alpha 100.16
_cell_angle_beta 100.16
_cell_angle_gamma 120.91
loop_
_space_group_symop_operation_xyz
'x,y,z'
loop_
_atom_site_label
_atom_site_type_symbol
_atom_site_fract_x
_atom_site_fract_y
_atom_site_fract_z
O1 O 0.1679 0.1679 0.3197
Rb1 Rb 0.5000 0.5000 0.0000
O2 O 0.0657 0.2894 0.6812
Cs1 Cs 0.6671 0.3329 0.5000
O3 O 0.2894 0.0657 0.6812
Cs2 Cs 0.8352 0.1648 0.0000
Cs3 Cs 0.1648 0.8352 0.0000
O4 O 0.7106 0.9343 0.3188
O5 O 0.9343 0.7106 0.3188
O6 O 0.8321 0.8321 0.6803
Re1 Re 0.0000 0.0000 0.5000
Cs4 Cs 0.3329 0.6671 0.5000


# 3
# PBE Cs2Rb4Zn2O5, relaxed
# Polymorph energy (0 for the lowest one): 22.5 meV per atom
# Mass density: 4.514 g cm⁻³
# Energy: -3.72 eV/atom
data_Cs2Rb4Zn2O5
_space_group_name_H-M_alt 'P 1'
_space_group_IT_number 1
_cell_length_a 7.0099
_cell_length_b 7.0099
_cell_length_c 6.9746
_cell_angle_alpha 91.93
_cell_angle_beta 91.93
_cell_angle_gamma 118.30
loop_
_space_group_symop_operation_xyz
'x,y,z'
loop_
_atom_site_label
_atom_site_type_symbol
_atom_site_fract_x
_atom_site_fract_y
_atom_site_fract_z
O1 O 0.8971 0.1697 0.0562
O2 O 0.3987 0.3987 0.2503
O3 O 0.1697 0.8971 0.0562
Rb1 Rb 0.9832 0.9832 0.6359
Rb2 Rb 0.5855 0.1179 0.3155
O4 O 0.7995 0.5285 0.5828
Cs1 Cs 0.5574 0.1475 0.8196
Rb3 Rb 0.7056 0.7056 0.0092
Zn1 Zn 0.5652 0.5652 0.4801
Rb4 Rb 0.1179 0.5855 0.3155
Cs2 Cs 0.1475 0.5574 0.8196
Zn2 Zn 0.1478 0.1478 0.1309
O5 O 0.5285 0.7995 0.5828


# 4
# PBE Cs5RbZn2O5, relaxed
# Polymorph energy (0 for the lowest one): 3.8 meV per atom
# Mass density: 4.916 g cm⁻³
# Energy: -3.69 eV/atom
data_Cs5RbZn2O5
_space_group_name_H-M_alt 'P 1'
_space_group_IT_number 1
_cell_length_a 7.1663
_cell_length_b 7.1663
_cell_length_c 7.2042
_cell_angle_alpha 92.45
_cell_angle_beta 92.45
_cell_angle_gamma 118.32
loop_
_space_group_symop_operation_xyz
'x,y,z'
loop_
_atom_site_label
_atom_site_type_symbol
_atom_site_fract_x
_atom_site_fract_y
_atom_site_fract_z
O1 O 0.7933 0.5289 0.5912
O2 O 0.1784 0.9121 0.0375
O3 O 0.5289 0.7933 0.5912
O4 O 0.3841 0.3841 0.2758
Zn1 Zn 0.5602 0.5602 0.4920
Zn2 Zn 0.1537 0.1537 0.1233
Rb1 Rb 0.9812 0.9812 0.6460
O5 O 0.9121 0.1784 0.0375
Cs1 Cs 0.5600 0.1402 0.8132
Cs2 Cs 0.1174 0.5951 0.3128
Cs3 Cs 0.1402 0.5600 0.8132
Cs4 Cs 0.5951 0.1174 0.3128
Cs5 Cs 0.6989 0.6989 0.0080


# 5
# PBE Cs2Rb4Zn2O5, relaxed
# Polymorph energy (0 for the lowest one): 0.0 meV per atom
# Mass density: 4.572 g cm⁻³
# Energy: -3.74 eV/atom
data_Cs2Rb4Zn2O5
_space_group_name_H-M_alt 'P 1'
_space_group_IT_number 1
_cell_length_a 6.9910
_cell_length_b 6.9910
_cell_length_c 6.9482
_cell_angle_alpha 90.77
_cell_angle_beta 90.77
_cell_angle_gamma 118.88
loop_
_space_group_symop_operation_xyz
'x,y,z'
loop_
_atom_site_label
_atom_site_type_symbol
_atom_site_fract_x
_atom_site_fract_y
_atom_site_fract_z
Rb1 Rb 0.1338 0.5716 0.8167
Cs1 Cs 0.0138 0.0138 0.6062
Rb2 Rb 0.1197 0.5840 0.3143
O1 O 0.1913 0.9126 0.0438
O2 O 0.7912 0.5148 0.5901
Zn1 Zn 0.1518 0.1518 0.1178
Rb3 Rb 0.5716 0.1338 0.8167
O3 O 0.3703 0.3703 0.2928
Rb4 Rb 0.5840 0.1197 0.3143
O4 O 0.5148 0.7912 0.5901
Cs2 Cs 0.6917 0.6917 0.0062
Zn2 Zn 0.5571 0.5571 0.5018
O5 O 0.9126 0.1913 0.0438


# 6
# PBE Cs4Rb2Zn2O5, relaxed
# Polymorph energy (0 for the lowest one): 18.7 meV per atom
# Mass density: 4.750 g cm⁻³
# Energy: -3.70 eV/atom
data_Cs4Rb2Zn2O5
_space_group_name_H-M_alt 'P 1'
_space_group_IT_number 1
_cell_length_a 7.1287
_cell_length_b 7.1287
_cell_length_c 7.1705
_cell_angle_alpha 93.13
_cell_angle_beta 93.13
_cell_angle_gamma 118.20
loop_
_space_group_symop_operation_xyz
'x,y,z'
loop_
_atom_site_label
_atom_site_type_symbol
_atom_site_fract_x
_atom_site_fract_y
_atom_site_fract_z
Rb1 Rb 0.9738 0.9738 0.6630
Cs1 Cs 0.1466 0.5579 0.8182
O1 O 0.1712 0.9066 0.0421
O2 O 0.4106 0.4106 0.2404
Zn1 Zn 0.1600 0.1600 0.1229
O3 O 0.7861 0.5221 0.5962
Cs2 Cs 0.5579 0.1466 0.8182
Cs3 Cs 0.1104 0.5933 0.3148
Cs4 Cs 0.5933 0.1104 0.3148
Zn2 Zn 0.5597 0.5597 0.4817
O4 O 0.5221 0.7861 0.5962
Rb2 Rb 0.7052 0.7052 0.0039
O5 O 0.9066 0.1712 0.0421